Ca2ZrRh: relaxed, PBE.

Cell lengths 5.8063, 10.0175, 3.2200 Å; angles 90.00, 90.00, 90.00 degrees
With the nearest neighbours (Å) after each atom.
Space group Cmmm (No. 65)
Asymmetric unit:
Ca 0.2500 0.2500 0.0000 (multiplicity 4)  4 Ca 2.90-3.22
Zr 0.0000 0.0000 0.5000 (multiplicity 2)  2 Rh 2.90, 2 Zr 3.22
Rh 0.0000 0.5000 0.5000 (multiplicity 2)  2 Zr 2.90, 2 Rh 3.22

Values from the calculation:
The value obtained for the volume is 23.41 Å³ per atom. The value obtained for the energy of formation is 0.21 eV/atom. Its electronic total energy is -38.10 eV/cell.

Pr2Sm4Dy: relaxed, PBE.

Cell lengths 3.6395, 3.6395, 62.3599 Å; angles 90.00, 90.00, 120.00 degrees
With the nearest neighbours (Å) after each atom.
Space group R-3m (No. 166, hexagonal axes)
Asymmetric unit:
Pr 0.0000 0.0000 0.0719 (multiplicity 6)  6 Pr 3.64, 6 Sm 3.67
Sm 0.0000 0.0000 0.2131 (multiplicity 6)  3 Dy 3.58, 6 Sm 3.64, 3 Pr 3.67
Sm 0.0000 0.0000 0.3569 (multiplicity 6)  9 Sm 3.61-3.64, 3 Pr 3.67
Dy 0.0000 0.0000 0.5000 (multiplicity 3)  6 Sm 3.58, 6 Dy 3.64

Values from the calculation:
The value obtained for the volume is 34.06 Å³ per atom. The value obtained for the energy of formation is 0.01 eV/atom. Its electronic total energy is -98.83 eV/cell.

KMg: relaxed, PBE.

Cell lengths 7.4450, 7.4450, 7.4450 Å; angles 90.00, 90.00, 90.00 degrees
With the nearest neighbours (Å) after each atom.
Space group Fm-3m (No. 225)
Asymmetric unit:
K 0.0000 0.0000 0.0000 (multiplicity 4)  6 Mg 3.72
Mg 0.0000 0.0000 0.5000 (multiplicity 4)  6 K 3.72

Values from the calculation:
The value obtained for the volume is 51.58 Å³ per atom. The value obtained for the energy of formation is 0.44 eV/atom. Its electronic total energy is -7.29 eV/cell.

ErTmBePd: relaxed, PBE.

Cell lengths 6.8715, 6.8715, 6.8715 Å; angles 90.00, 90.00, 90.00 degrees
With the nearest neighbours (Å) after each atom.
Space group F-43m (No. 216)
Asymmetric unit:
Er 0.0000 0.0000 0.0000 (multiplicity 4)  4 Be 2.98, 4 Pd 2.98
Tm 0.0000 0.0000 0.5000 (multiplicity 4)  4 Be 2.98, 4 Pd 2.98
Be 0.2500 0.2500 0.7500 (multiplicity 4)  4 Er 2.98, 4 Tm 2.98
Pd 0.2500 0.2500 0.2500 (multiplicity 4)  4 Er 2.98, 4 Tm 2.98

Values from the calculation:
The value obtained for the volume is 20.28 Å³ per atom. The value obtained for the energy of formation is -0.40 eV/atom. Its electronic total energy is -78.15 eV/cell.

MgIn4Bi: relaxed, PBE.

Cell lengths 6.2494, 20.5033, 5.1743 Å; angles 90.00, 90.28, 90.00 degrees
With the nearest neighbours (Å) after each atom.
Space group C2/c (No. 15)
Asymmetric unit:
Mg 0.0000 0.1498 0.2500 (multiplicity 4)  2 Bi 3.23, 6 In 3.23-3.35
In 0.2416 0.0450 0.7481 (multiplicity 8)  5 In 3.02-3.29, 2 Bi 3.33
In 0.2487 0.2945 0.2498 (multiplicity 8)  5 In 3.11-3.29, 3 Mg 3.23-3.35
Bi 0.0000 0.3898 0.7500 (multiplicity 4)  2 Mg 3.23, 10 In 3.33-3.60

Values from the calculation:
The value obtained for the volume is 27.62 Å³ per atom. The value obtained for the energy of formation is 0.03 eV/atom. Its electronic total energy is -65.10 eV/cell.

LaSiTeI2: relaxed, PBE.

Cell lengths 5.4718, 5.4718, 5.5613 Å; angles 90.00, 90.00, 90.00 degrees
With the nearest neighbours (Å) after each atom.
Space group P4/mmm (No. 123)
Asymmetric unit:
La 0.0000 0.0000 0.0000 (multiplicity 1)  4 Te 3.87, 8 I 3.90
Si 0.5000 0.5000 0.5000 (multiplicity 1)  4 I 2.74, 2 Te 2.78
Te 0.5000 0.5000 0.0000 (multiplicity 1)  2 Si 2.78
I 0.0000 0.5000 0.5000 (multiplicity 2)  2 Si 2.74

Values from the calculation:
The formation energy (no corrections) is -1.3 eV per formula unit. The value obtained for the volume is 33.30 Å³ per atom. Its electronic total energy is -17.90 eV/cell.

NbPS2N: relaxed, PBE.

Cell lengths 4.9287, 4.9287, 3.8507 Å; angles 90.00, 90.00, 90.00 degrees
With the nearest neighbours (Å) after each atom.
Space group P4/mmm (No. 123)
Asymmetric unit:
Nb 0.0000 0.0000 0.0000 (multiplicity 1)  2 N 1.93
P 0.5000 0.5000 0.5000 (multiplicity 1)  8 S 3.13, 4 N 3.49
S 0.0000 0.5000 0.0000 (multiplicity 2)  2 Nb 2.46
N 0.0000 0.0000 0.5000 (multiplicity 1)  2 Nb 1.93

Values from the calculation:
The formation energy (no corrections) is 2.4 eV per formula unit. The value obtained for the volume is 18.71 Å³ per atom. Its electronic total energy is -29.68 eV/cell.

YCuBr2: relaxed, PBE.

Cell lengths 4.5973, 3.9076, 5.8174 Å; angles 90.00, 112.76, 90.00 degrees
With the nearest neighbours (Å) after each atom.
Space group Pm (No. 6)
Asymmetric unit:
Y 0.0000 0.0000 0.0000 (multiplicity 1)  2 Cu 2.73
Cu 0.0480 0.5000 0.3410 (multiplicity 1)  3 Br 2.65-2.72, 2 Y 2.73
Br 0.3910 0.5000 0.8273 (multiplicity 1)  1 Cu 2.65
Br 0.6867 0.0000 0.4227 (multiplicity 1)  2 Cu 2.72

Values from the calculation:
The formation energy (no corrections) is -3.2 eV per formula unit. The value obtained for the volume is 24.09 Å³ per atom. Its electronic total energy is -17.07 eV/cell.